# KCdAu2

A relaxed structure of KCdAu2 (PBE, the Alexandria database).

abc: 3.697 3.697 7.499
angles: 90.00 90.00 90.00
Positions (direct):
Au (0.500, 0.500, 0.235)
Au (0.000, 0.000, 0.061)
Cd (0.000, 0.000, 0.434)
K (0.500, 0.500, 0.770)

Calculated values
Formation energy in meV per atom: -54
E_tot in eV per atom: -2.1954
Symmetry: No. 99
Calculated volume in A^3/atom: 25.62



# K2Cd3Au4

A relaxed structure of K2Cd3Au4 (PBE, the Alexandria database).

abc: 6.305 8.083 9.255
angles: 90.00 109.91 90.00
Positions (direct):
Cd (0.993, 0.250, 0.487)
Cd (0.493, 0.250, 0.487)
Cd (0.507, 0.750, 0.513)
Cd (0.000, 0.000, 0.000)
Cd (0.007, 0.750, 0.513)
Cd (0.500, 0.500, 0.000)
K (0.405, 0.100, 0.810)
K (0.595, 0.900, 0.190)
K (0.905, 0.400, 0.810)
K (0.095, 0.600, 0.190)
Au (0.830, 0.006, 0.660)
Au (0.326, 0.250, 0.151)
Au (0.674, 0.750, 0.849)
Au (0.330, 0.494, 0.660)
Au (0.174, 0.750, 0.849)
Au (0.170, 0.994, 0.340)
Au (0.826, 0.250, 0.151)
Au (0.670, 0.506, 0.340)

Calculated values
E above lowest polymorph in meV per atom: 0
Formation energy in meV per atom: -226
E_tot in eV per atom: -2.2314
Symmetry: No. 64
Calculated volume in A^3/atom: 24.64



# KCd4Au

A relaxed structure of KCd4Au (PBE, the Alexandria database).

abc: 4.693 7.714 9.056
angles: 90.00 105.02 90.00
Positions (direct):
Cd (0.679, 0.945, 0.357)
Cd (0.500, 0.500, 0.000)
Cd (0.321, 0.445, 0.643)
Cd (0.679, 0.555, 0.357)
Cd (0.321, 0.055, 0.643)
Cd (0.933, 0.250, 0.866)
Cd (0.067, 0.750, 0.134)
Cd (0.500, 0.000, 0.000)
Au (0.770, 0.250, 0.540)
Au (0.230, 0.750, 0.460)
K (0.126, 0.250, 0.252)
K (0.874, 0.750, 0.748)

Calculated values
E above lowest polymorph in meV per atom: 0
Formation energy in meV per atom: -131
E_tot in eV per atom: -1.4702
Symmetry: No. 63
Calculated volume in A^3/atom: 26.39



# KCd3Au2

A relaxed structure of KCd3Au2 (PBE, the Alexandria database).

abc: 5.957 7.329 7.329
angles: 100.95 90.00 90.00
Positions (direct):
Cd (0.750, 0.463, 0.072)
Cd (0.250, 0.537, 0.928)
Cd (0.250, 0.946, 0.946)
Cd (0.250, 0.928, 0.537)
Cd (0.750, 0.054, 0.054)
Cd (0.750, 0.072, 0.463)
Au (0.000, 0.784, 0.216)
Au (0.500, 0.216, 0.784)
Au (0.500, 0.784, 0.216)
Au (0.000, 0.216, 0.784)
K (0.250, 0.353, 0.353)
K (0.750, 0.647, 0.647)

Calculated values
E above lowest polymorph in meV per atom: 2
Formation energy in meV per atom: -210
E_tot in eV per atom: -1.9426
Symmetry: No. 63
Calculated volume in A^3/atom: 26.18



# KCdAu2

A relaxed structure of KCdAu2 (PBE, the Alexandria database).

abc: 5.360 5.360 10.320
angles: 74.95 74.95 90.00
Positions (direct):
K (0.500, 0.500, 0.000)
K (0.250, 0.750, 0.500)
Cd (0.000, 0.000, 0.000)
Cd (0.750, 0.250, 0.500)
Au (0.875, 0.125, 0.250)
Au (0.875, 0.625, 0.250)
Au (0.875, 0.125, 0.750)
Au (0.375, 0.125, 0.750)

Calculated values
Formation energy in meV per atom: -174
E_tot in eV per atom: -2.3159
Symmetry: No. 141
Calculated volume in A^3/atom: 34.48



# K3Cd9Au2

A relaxed structure of K3Cd9Au2 (PBE, the Alexandria database).

abc: 4.884 9.366 9.366
angles: 72.08 74.89 74.89
Positions (direct):
Cd (0.882, 0.397, 0.839)
Cd (0.324, 0.036, 0.316)
Cd (0.324, 0.316, 0.036)
Cd (0.118, 0.603, 0.161)
Cd (0.000, 0.500, 0.500)
Cd (0.676, 0.964, 0.684)
Cd (0.676, 0.684, 0.964)
Cd (0.118, 0.161, 0.603)
Cd (0.882, 0.839, 0.397)
Au (0.500, 0.728, 0.272)
Au (0.500, 0.272, 0.728)
K (0.318, 0.682, 0.682)
K (0.682, 0.318, 0.318)
K (0.000, 0.000, 0.000)

Calculated values
Formation energy in meV per atom: -132
E_tot in eV per atom: -1.4234
Symmetry: No. 71
Calculated volume in A^3/atom: 27.57



# K2Cd7Au

A relaxed structure of K2Cd7Au (PBE, the Alexandria database).

abc: 4.650 4.650 13.169
angles: 90.00 90.00 90.00
Positions (direct):
Cd (0.500, 0.000, 0.135)
Cd (0.000, 0.000, 0.500)
Cd (0.500, 0.000, 0.355)
Cd (0.000, 0.500, 0.645)
Cd (0.000, 0.500, 0.865)
Cd (0.500, 0.500, 0.500)
Cd (0.000, 0.000, 0.000)
Au (0.500, 0.500, 0.000)
K (0.500, 0.000, 0.758)
K (0.000, 0.500, 0.242)

Calculated values
E above lowest polymorph in meV per atom: 0
Formation energy in meV per atom: -94
E_tot in eV per atom: -1.2822
Symmetry: No. 115
Calculated volume in A^3/atom: 28.48



# K2Cd12Au5

A relaxed structure of K2Cd12Au5 (PBE, the Alexandria database).

abc: 7.674 7.674 7.674
angles: 84.65 84.65 84.65
Positions (direct):
Au (0.000, 0.500, 0.000)
Au (0.500, 0.000, 0.000)
Au (0.104, 0.104, 0.104)
Au (0.896, 0.896, 0.896)
Au (0.000, 0.000, 0.500)
K (0.347, 0.347, 0.347)
K (0.653, 0.653, 0.653)
Cd (0.655, 0.655, 0.127)
Cd (0.000, 0.709, 0.291)
Cd (0.709, 0.291, 0.000)
Cd (0.127, 0.655, 0.655)
Cd (0.291, 0.709, 0.000)
Cd (0.873, 0.345, 0.345)
Cd (0.345, 0.873, 0.345)
Cd (0.709, 0.000, 0.291)
Cd (0.655, 0.127, 0.655)
Cd (0.345, 0.345, 0.873)
Cd (0.291, 0.000, 0.709)
Cd (0.000, 0.291, 0.709)

Calculated values
Formation energy in meV per atom: -127
E_tot in eV per atom: -1.6830
Symmetry: No. 166
Calculated volume in A^3/atom: 23.50



# K4CdAu2

A relaxed structure of K4CdAu2 (PBE, the Alexandria database).

abc: 6.462 6.462 9.360
angles: 69.81 69.81 90.00
Positions (direct):
Cd (0.000, 0.000, 0.000)
K (0.217, 0.217, 0.565)
K (0.000, 0.500, 0.000)
K (0.500, 0.000, 0.000)
K (0.783, 0.783, 0.435)
Au (0.587, 0.587, 0.827)
Au (0.413, 0.413, 0.173)

Calculated values
E above lowest polymorph in meV per atom: 217
Formation energy in meV per atom: 3
E_tot in eV per atom: -1.6912
Symmetry: No. 139
Calculated volume in A^3/atom: 48.73



# K2Cd5Au3

A relaxed structure of K2Cd5Au3 (PBE, the Alexandria database).

abc: 4.526 4.526 13.060
angles: 90.00 90.00 90.00
Positions (direct):
K (0.500, 0.000, 0.278)
K (0.000, 0.500, 0.722)
Cd (0.000, 0.500, 0.153)
Cd (0.000, 0.000, 0.000)
Cd (0.500, 0.500, 0.500)
Cd (0.500, 0.500, 0.000)
Cd (0.500, 0.000, 0.847)
Au (0.500, 0.000, 0.637)
Au (0.000, 0.000, 0.500)
Au (0.000, 0.500, 0.363)

Calculated values
E above lowest polymorph in meV per atom: 50
Formation energy in meV per atom: -157
E_tot in eV per atom: -1.8169
Symmetry: No. 115
Calculated volume in A^3/atom: 26.76



What did the third record say?
# KCd4Au

A relaxed structure of KCd4Au (PBE, the Alexandria database).

abc: 4.693 7.714 9.056
angles: 90.00 105.02 90.00
Positions (direct):
Cd (0.679, 0.945, 0.357)
Cd (0.500, 0.500, 0.000)
Cd (0.321, 0.445, 0.643)
Cd (0.679, 0.555, 0.357)
Cd (0.321, 0.055, 0.643)
Cd (0.933, 0.250, 0.866)
Cd (0.067, 0.750, 0.134)
Cd (0.500, 0.000, 0.000)
Au (0.770, 0.250, 0.540)
Au (0.230, 0.750, 0.460)
K (0.126, 0.250, 0.252)
K (0.874, 0.750, 0.748)

Calculated values
E above lowest polymorph in meV per atom: 0
Formation energy in meV per atom: -131
E_tot in eV per atom: -1.4702
Symmetry: No. 63
Calculated volume in A^3/atom: 26.39